No. 1
A plane-wave DFT calculation with PBE-GGA was carried out for crystalline Ca2ZnAg at its relaxed geometry.

Cell lengths 5.0768, 5.0768, 5.0768 Å; angles 60.00, 60.00, 60.00 degrees
Fractional positions:
Ca 0.0000 0.0000 0.0000
Ca 0.2500 0.2500 0.2500
Zn 0.7500 0.7500 0.7500
Ag 0.5000 0.5000 0.5000

Output
* size of the total moment: 0.00 μB/cell
* energy of formation: -0.08 eV per atom

***

No. 2
A plane-wave DFT calculation with PBE-GGA was carried out for crystalline RbSiPS2 at its relaxed geometry.

Cell lengths 4.8789, 4.8789, 4.6077 Å; angles 90.00, 90.00, 90.00 degrees
Fractional positions:
Rb 0.0000 0.0000 0.0000
Si 0.5000 0.5000 0.5000
P 0.5000 0.5000 0.0000
S 0.0000 0.5000 0.5000
S 0.5000 0.0000 0.5000

Output
* ΔE_f (raw): 0.12 kcal/mol of atoms
* size of the total moment: 0.90 μB/cell

***

No. 3
A plane-wave DFT calculation with PBE-GGA was carried out for crystalline AcInAg3Hg at its relaxed geometry.

Cell lengths 7.4960, 7.4960, 6.8420 Å; angles 90.00, 90.00, 126.38 degrees
Fractional positions:
Ac 0.1956 0.8044 0.7500
Ac 0.8044 0.1956 0.2500
In 0.1418 0.8582 0.2500
In 0.8582 0.1418 0.7500
Ag 0.2064 0.2064 0.0000
Ag 0.2064 0.2064 0.5000
Ag 0.3523 0.6477 0.2500
Ag 0.6477 0.3523 0.7500
Ag 0.7936 0.7936 0.0000
Ag 0.7936 0.7936 0.5000
Hg 0.4287 0.5713 0.7500
Hg 0.5713 0.4287 0.2500

Output
* size of the total moment: 0.00 μB/cell
* energy of formation: -0.08 eV per atom

***

No. 4
A plane-wave DFT calculation with PBE-GGA was carried out for crystalline Sr3Li8Cd at its relaxed geometry.

Cell lengths 10.7785, 10.7785, 10.7785 Å; angles 33.21, 33.21, 33.21 degrees
Fractional positions:
Sr 0.0000 0.0000 0.0000
Sr 0.1315 0.1315 0.1315
Sr 0.5228 0.5228 0.5228
Li 0.0601 0.5684 0.5684
Li 0.0794 0.0794 0.5664
Li 0.0794 0.5664 0.0794
Li 0.3188 0.3188 0.3188
Li 0.5664 0.0794 0.0794
Li 0.5684 0.0601 0.5684
Li 0.5684 0.5684 0.0601
Li 0.8235 0.8235 0.8235
Cd 0.6376 0.6376 0.6376

Output
* size of the total moment: 0.00 μB/cell
* energy of formation: -0.02 eV per atom

***

No. 5
A plane-wave DFT calculation with PBE-GGA was carried out for crystalline Mn2AgBAs at its relaxed geometry.

Cell lengths 4.1324, 4.1324, 4.3917 Å; angles 90.00, 90.00, 90.00 degrees
Fractional positions:
Mn 0.0000 0.5000 0.0000
Mn 0.5000 0.0000 0.0000
Ag 0.0000 0.0000 0.5000
B 0.5000 0.5000 0.0000
As 0.5000 0.5000 0.5000

Output
* size of the total moment: 6.83 μB/cell
* energy of formation: 0.40 eV per atom

***

No. 6
A plane-wave DFT calculation with PBE-GGA was carried out for crystalline HgIr2Au at its relaxed geometry.

Cell lengths 4.9054, 4.9054, 4.9054 Å; angles 130.15, 130.15, 73.16 degrees
Fractional positions:
Hg 0.0000 0.0000 0.0000
Ir 0.2500 0.7500 0.5000
Ir 0.5000 0.5000 0.0000
Au 0.7500 0.2500 0.5000

Output
* size of the total moment: 0.27 μB/cell
* energy of formation: 0.56 eV per atom

***

No. 7
A plane-wave DFT calculation with PBE-GGA was carried out for crystalline LaPm2PuN4 at its relaxed geometry.

Cell lengths 6.2334, 3.6125, 6.2543 Å; angles 90.00, 109.31, 90.00 degrees
Fractional positions:
La 0.0000 0.0000 0.0000
Pm 0.5000 0.0000 0.5000
Pm 0.5000 0.5000 0.0000
Pu 0.0000 0.5000 0.5000
N 0.2379 0.0000 0.7322
N 0.2454 0.5000 0.2648
N 0.7546 0.5000 0.7352
N 0.7621 0.0000 0.2678

Output
* ΔE_f (raw): -30.75 kcal/mol of atoms
* size of the total moment: 4.70 μB/cell

***

No. 8
A plane-wave DFT calculation with PBE-GGA was carried out for crystalline Re4Tc3Ru2 at its relaxed geometry.

Cell lengths 7.5936, 7.5936, 4.7443 Å; angles 95.16, 95.16, 84.77 degrees
Fractional positions:
Re 0.1465 0.7090 0.9607
Re 0.1525 0.5113 0.4135
Re 0.2910 0.8535 0.5393
Re 0.4887 0.8475 0.0865
Re 0.5113 0.1525 0.9135
Re 0.7090 0.1465 0.4607
Re 0.8475 0.4887 0.5865
Re 0.8535 0.2910 0.0393
Tc 0.0431 0.1614 0.5586
Tc 0.1614 0.0431 0.0586
Tc 0.4540 0.5460 0.7500
Tc 0.5460 0.4540 0.2500
Tc 0.8386 0.9569 0.9414
Tc 0.9569 0.8386 0.4414
Ru 0.2106 0.3614 0.9211
Ru 0.3614 0.2106 0.4211
Ru 0.6386 0.7894 0.5789
Ru 0.7894 0.6386 0.0789

Output
* size of the total moment: 0.00 μB/cell
* energy of formation: 0.16 eV per atom

***

No. 9
A plane-wave DFT calculation with PBE-GGA was carried out for crystalline HoCo3P2 at its relaxed geometry.

Cell lengths 3.6834, 10.5041, 12.1457 Å; angles 90.00, 90.00, 90.00 degrees
Fractional positions:
Ho 0.2500 0.0675 0.2059
Ho 0.2500 0.2500 0.4778
Ho 0.2500 0.4325 0.2059
Ho 0.7500 0.5675 0.7941
Ho 0.7500 0.7500 0.5222
Ho 0.7500 0.9325 0.7941
Co 0.2500 0.1291 0.7096
Co 0.2500 0.2500 0.0138
Co 0.2500 0.3709 0.7096
Co 0.2500 0.5471 0.4307
Co 0.2500 0.5832 0.9947
Co 0.2500 0.7500 0.1590
Co 0.2500 0.7500 0.7032
Co 0.2500 0.9168 0.9947
Co 0.2500 0.9529 0.4307
Co 0.7500 0.0471 0.5693
Co 0.7500 0.0832 0.0053
Co 0.7500 0.2500 0.2968
Co 0.7500 0.2500 0.8410
Co 0.7500 0.4168 0.0053
Co 0.7500 0.4529 0.5693
Co 0.7500 0.6291 0.2904
Co 0.7500 0.7500 0.9862
Co 0.7500 0.8709 0.2904
P 0.2500 0.0973 0.8929
P 0.2500 0.4027 0.8929
P 0.2500 0.5611 0.6162
P 0.2500 0.7500 0.3442
P 0.2500 0.7500 0.8826
P 0.2500 0.9389 0.6162
P 0.7500 0.0611 0.3838
P 0.7500 0.2500 0.1174
P 0.7500 0.2500 0.6558
P 0.7500 0.4389 0.3838
P 0.7500 0.5973 0.1071
P 0.7500 0.9027 0.1071

Output
* size of the total moment: 4.54 μB/cell
* energy of formation: -0.94 eV per atom

***

No. 10
A plane-wave DFT calculation with PBE-GGA was carried out for crystalline KNaAs3 at its relaxed geometry.

Cell lengths 5.6044, 5.6044, 5.6044 Å; angles 90.00, 90.00, 90.00 degrees
Fractional positions:
K 0.0000 0.0000 0.0000
Na 0.5000 0.5000 0.5000
As 0.0000 0.0000 0.5000
As 0.0000 0.5000 0.0000
As 0.5000 0.0000 0.0000

Output
* size of the total moment: 0.77 μB/cell
* energy of formation: 1.09 eV per atom

***

No. 11
A plane-wave DFT calculation with PBE-GGA was carried out for crystalline La6Pr4Ho at its relaxed geometry.

Cell lengths 9.6273, 9.6273, 9.6273 Å; angles 137.16, 137.16, 62.19 degrees
Fractional positions:
La 0.0000 0.5000 0.5000
La 0.0046 0.6313 0.0000
La 0.3687 0.3687 0.3733
La 0.5000 0.0000 0.5000
La 0.6313 0.0046 0.0000
La 0.9954 0.9954 0.6267
Pr 0.2230 0.2230 0.6633
Pr 0.4403 0.7770 0.0000
Pr 0.5597 0.5597 0.3367
Pr 0.7770 0.4403 0.0000
Ho 0.0000 0.0000 0.0000

Output
* size of the total moment: 0.00 μB/cell
* energy of formation: 0.25 eV per atom

***

No. 12
A plane-wave DFT calculation with PBE-GGA was carried out for crystalline TeOs2Br at its relaxed geometry.

Cell lengths 4.6531, 4.6531, 3.2456 Å; angles 90.00, 90.00, 90.00 degrees
Fractional positions:
Te 0.0000 0.0000 0.0000
Os 0.0000 0.5000 0.5000
Os 0.5000 0.0000 0.5000
Br 0.5000 0.5000 0.0000

Output
* ΔE_f (raw): 32.00 kcal/mol of atoms
* size of the total moment: 0.00 μB/cell